Record 1
Material: RhBr3
Method: DFT, GGA-PBE
State: optimized geometry

* total magnetic moment: 0.00 Bohr magnetons per cell
* calculated density: 6.04 g cm⁻³
* density of states at the Fermi level: 1.454 states/eV per atom
* formation energy (no corrections): 66 kJ/mol of atoms
* total energy: -2.413 eV/atom

```
data_RhBr3
_cell_length_a 8.5089
_cell_length_b 8.5089
_cell_length_c 4.5100
_cell_angle_alpha 90.00
_cell_angle_beta 90.00
_cell_angle_gamma 120.00
_space_group_name_H-M_alt 'R -3 m'
_space_group_IT_number 166
_space_group_name_Hall '-R 3 2"'
loop_
_atom_site_label
_atom_site_type_symbol
_atom_site_fract_x
_atom_site_fract_y
_atom_site_fract_z
Rh1 Rh 0.0000 0.0000 0.0000
Br1 Br 0.0000 0.5000 0.0000
```

---

Record 2
Material: Ho6PdS5
Method: DFT, GGA-PBE
State: optimized geometry

* total magnetic moment: 0.00 Bohr magnetons per cell
* calculated density: 8.18 g cm⁻³
* density of states at the Fermi level: 0.325 states/eV per atom
* formation energy (no corrections): -172 kJ/mol of atoms
* total energy: -6.225 eV/atom

```
data_Ho6PdS5
_cell_length_a 6.7939
_cell_length_b 11.7619
_cell_length_c 6.7802
_cell_angle_alpha 90.00
_cell_angle_beta 109.62
_cell_angle_gamma 90.00
_space_group_name_H-M_alt 'C 1 2/m 1'
_space_group_IT_number 12
loop_
_space_group_symop_operation_xyz
'x,y,z'
'-x,-y,-z'
'-x,y,-z'
'x,-y,z'
'x+1/2,y+1/2,z'
'-x+1/2,-y+1/2,-z'
'-x+1/2,y+1/2,-z'
'x+1/2,-y+1/2,z'
loop_
_atom_site_label
_atom_site_type_symbol
_atom_site_fract_x
_atom_site_fract_y
_atom_site_fract_z
Ho1 Ho 0.2463 0.0000 0.2540
Ho2 Ho 0.2484 0.1698 0.7498
Pd1 Pd 0.0000 0.5000 0.0000
S1 S 0.0000 0.0000 0.5000
S2 S 0.0000 0.1655 0.0000
S3 S 0.0000 0.3316 0.5000
```

---

Record 3
Material: CePaCl6
Method: DFT, GGA-PBE
State: optimized geometry

* excess energy over the best structure of this formula in the dataset: 0 meV per atom
* total magnetic moment: 6.00 Bohr magnetons per cell
* calculated density: 3.43 g cm⁻³
* density of states at the Fermi level: 1.459 states/eV per atom
* formation energy (no corrections): -186 kJ/mol of atoms
* total energy: -5.244 eV/atom

```
data_CePaCl6
_cell_length_a 6.9733
_cell_length_b 12.1302
_cell_length_c 6.9465
_cell_angle_alpha 90.00
_cell_angle_beta 105.81
_cell_angle_gamma 90.00
_space_group_name_H-M_alt 'C 1 2/m 1'
_space_group_IT_number 12
loop_
_space_group_symop_operation_xyz
'x,y,z'
'-x,-y,-z'
'-x,y,-z'
'x,-y,z'
'x+1/2,y+1/2,z'
'-x+1/2,-y+1/2,-z'
'-x+1/2,y+1/2,-z'
'x+1/2,-y+1/2,z'
loop_
_atom_site_label
_atom_site_type_symbol
_atom_site_fract_x
_atom_site_fract_y
_atom_site_fract_z
Ce1 Ce 0.0000 0.0000 0.0000
Pa1 Pa 0.0000 0.5000 0.5000
Cl1 Cl 0.2392 0.3497 0.7463
Cl2 Cl 0.2495 0.0000 0.7395
```